## w
A geometry-optimized LiMg4Ga structure. Source: the Alexandria database, functional GGA-PBE.

The space group is C2/c (No. 15) and the conventional cell measures 7.8367, 12.3949 and 5.5526 Å, with angles of 90.00, 110.39 and 90.00 degrees. The distinct sites, in fractional coordinates, are Li at (0.0000, 0.0003, 0.2500), Mg at (0.0991, 0.1909, 0.0528), Mg at (0.1993, 0.4054, 0.3652) and Ga at (0.0000, 0.3914, 0.7500).

As for the crystal system: monoclinic. For the density, the calculation gives 2.3 g/cm³.

***

## x
A geometry-optimized LiMg4Ga structure. Source: the Alexandria database, functional GGA-PBE.

The space group is P2/m (No. 10) and the conventional cell measures 4.5293, 4.5548 and 6.2810 Å, with angles of 90.00, 110.77 and 90.00 degrees. The distinct sites, in fractional coordinates, are Li at (0.0000, 0.0000, 0.0000), Mg at (0.1542, 0.5000, 0.3097), Mg at (0.3414, 0.0000, 0.6831) and Ga at (0.5000, 0.5000, 0.0000).

As for the crystal system: monoclinic. For the density, the calculation gives 2.4 g/cm³.

***

Relative calculated energies, zero for the most stable structure, unit eV/atom: w 0.089; x 0.000.

***

## w
A geometry-optimized LiMg5Ga3 structure. Source: the Alexandria database, functional GGA-PBE.

The space group is C2/m (No. 12) and the conventional cell measures 9.7016, 9.8565 and 9.2353 Å, with angles of 90.00, 107.09 and 90.00 degrees. The distinct sites, in fractional coordinates, are Li at (0.2405, 0.0000, 0.2443), Mg at (0.0000, 0.2288, 0.5000), Mg at (0.0698, 0.2391, 0.8673), Mg at (0.2054, 0.5000, 0.0694), Mg at (0.2394, 0.0000, 0.5712), Ga at (0.0000, 0.0000, 0.0000), Ga at (0.0000, 0.5000, 0.5000), Ga at (0.0017, 0.5000, 0.7820) and Ga at (0.0069, 0.0000, 0.6913).

As for the crystal system: monoclinic. For the density, the calculation gives 2.7 g/cm³.

***

## x
A geometry-optimized LiMg5Ga3 structure. Source: the Alexandria database, functional GGA-PBE.

The space group is P6_3/mcm (No. 193) and the conventional cell measures 8.2484, 8.2484 and 6.0230 Å, with angles of 90.00, 90.00 and 120.00 degrees. The distinct sites, in fractional coordinates, are Li at (0.0000, 0.0000, 0.0000), Mg at (0.0000, 0.3170, 0.2500), Mg at (0.3333, 0.6667, 0.0000) and Ga at (0.0000, 0.3474, 0.7500).

As for the crystal system: hexagonal. For the density, the calculation gives 3.2 g/cm³.

***

Relative calculated energies, zero for the most stable structure, unit eV/atom: w 0.148; x 0.000.

***

## w
A geometry-optimized LiMg5Ga structure. Source: the Alexandria database, functional GGA-PBE.

The space group is C2/c (No. 15) and the conventional cell measures 9.7955, 7.0737 and 10.4478 Å, with angles of 90.00, 115.53 and 90.00 degrees. The distinct sites, in fractional coordinates, are Li at (0.0000, 0.0818, 0.2500), Mg at (0.0000, 0.3350, 0.7500), Mg at (0.1113, 0.3626, 0.4908), Mg at (0.2301, 0.3837, 0.2547) and Ga at (0.2500, 0.2500, 0.0000).

As for the crystal system: monoclinic. For the density, the calculation gives 2.0 g/cm³.

***

## x
A geometry-optimized LiMg5Ga structure. Source: the Alexandria database, functional GGA-PBE.

The space group is C2/c (No. 15) and the conventional cell measures 13.5282, 7.6321 and 5.9854 Å, with angles of 90.00, 104.04 and 90.00 degrees. The distinct sites, in fractional coordinates, are Li at (0.0000, 0.2263, 0.2500), Mg at (0.0000, 0.1612, 0.7500), Mg at (0.1146, 0.4831, 0.6234), Mg at (0.1818, 0.0934, 0.5367) and Ga at (0.2500, 0.2500, 0.0000).

As for the crystal system: monoclinic. For the density, the calculation gives 2.2 g/cm³.

***

Relative calculated energies, zero for the most stable structure, unit eV/atom: w 0.086; x 0.000.

***

## w
A geometry-optimized Li3MgGa7 structure. Source: the Alexandria database, functional GGA-PBE.

The space group is Cmcm (No. 63) and the conventional cell measures 2.9927, 18.6839 and 14.5026 Å, with angles of 90.00, 90.00 and 90.00 degrees. The distinct sites, in fractional coordinates, are Li at (0.0000, 0.1152, 0.0052), Li at (0.0000, 0.2231, 0.7500), Mg at (0.0000, 0.0013, 0.7500), Ga at (0.0000, 0.2497, 0.0821), Ga at (0.0000, 0.3644, 0.7500), Ga at (0.0000, 0.3782, 0.1585) and Ga at (0.0000, 0.4922, 0.5869).

As for the crystal system: orthorhombic. For the density, the calculation gives 4.4 g/cm³.

***

## x
A geometry-optimized Li3MgGa7 structure. Source: the Alexandria database, functional GGA-PBE.

The space group is C2/m (No. 12) and the conventional cell measures 9.6892, 8.8703 and 5.4310 Å, with angles of 90.00, 115.38 and 90.00 degrees. The distinct sites, in fractional coordinates, are Li at (0.0000, 0.0000, 0.0000), Li at (0.0000, 0.1907, 0.5000), Mg at (0.0000, 0.5000, 0.0000), Ga at (0.0000, 0.5000, 0.5000), Ga at (0.1892, 0.2372, 0.1744) and Ga at (0.2262, 0.0000, 0.5167).

As for the crystal system: monoclinic. For the density, the calculation gives 4.2 g/cm³.

***

Relative calculated energies, zero for the most stable structure, unit eV/atom: w 0.000; x 0.058.